# 1
# PBE-GGA CaSm2Cu9, optimized geometry
data_CaSm2Cu9
_cell_length_a 5.2161
_cell_length_b 5.2161
_cell_length_c 8.9038
_cell_angle_alpha 72.97
_cell_angle_beta 72.97
_cell_angle_gamma 60.00
_space_group_name_H-M_alt 'P 1'
_space_group_IT_number 1
loop_
_space_group_symop_operation_xyz
'x,y,z'
loop_
_atom_site_label
_atom_site_type_symbol
_atom_site_fract_x
_atom_site_fract_y
_atom_site_fract_z
Cu1 Cu 0.4195 0.4195 0.2438
Cu2 Cu 0.4195 0.9173 0.2438
Sm1 Sm 0.1410 0.1410 0.5771
Cu3 Cu 0.3323 0.3323 0.0031
Cu4 Cu 0.5805 0.5805 0.7562
Ca1 Ca 0.0000 0.0000 0.0000
Cu5 Cu 0.6677 0.6677 0.9969
Cu6 Cu 0.0827 0.5805 0.7562
Cu7 Cu 0.9173 0.4195 0.2438
Sm2 Sm 0.8590 0.8590 0.4229
Cu8 Cu 0.5000 0.5000 0.5000
Cu9 Cu 0.5805 0.0827 0.7562
# - DFT formation energy: -0.141 eV per atom

---

# 2
# PBE-GGA CaSmCu, optimized geometry
data_CaSmCu
_cell_length_a 3.9793
_cell_length_b 3.9793
_cell_length_c 6.8205
_cell_angle_alpha 90.00
_cell_angle_beta 90.00
_cell_angle_gamma 120.00
_space_group_name_H-M_alt 'P 1'
_space_group_IT_number 1
loop_
_space_group_symop_operation_xyz
'x,y,z'
loop_
_atom_site_label
_atom_site_type_symbol
_atom_site_fract_x
_atom_site_fract_y
_atom_site_fract_z
Ca1 Ca 0.3333 0.6667 0.5944
Cu1 Cu 0.6667 0.3333 0.3238
Sm1 Sm 0.0000 0.0000 0.0817
# - DFT formation energy: 0.079 eV per atom
# - Excess energy over the best structure of this formula in the dataset: 135 meV/atom

---

# 3
# PBE-GGA CaSmCuSn, optimized geometry
data_CaSmCuSn
_cell_length_a 5.2532
_cell_length_b 5.2532
_cell_length_c 5.2532
_cell_angle_alpha 60.00
_cell_angle_beta 60.00
_cell_angle_gamma 60.00
_space_group_name_H-M_alt 'P 1'
_space_group_IT_number 1
loop_
_space_group_symop_operation_xyz
'x,y,z'
loop_
_atom_site_label
_atom_site_type_symbol
_atom_site_fract_x
_atom_site_fract_y
_atom_site_fract_z
Sn1 Sn 0.2500 0.2500 0.2500
Cu1 Cu 0.7500 0.7500 0.7500
Sm1 Sm 0.0000 0.0000 0.0000
Ca1 Ca 0.5000 0.5000 0.5000
# - DFT formation energy: -0.429 eV per atom

---

# 4
# PBE-GGA CaSmCu2Sn2, optimized geometry
data_CaSmCu2Sn2
_cell_length_a 4.5785
_cell_length_b 4.5785
_cell_length_c 7.6673
_cell_angle_alpha 90.00
_cell_angle_beta 90.00
_cell_angle_gamma 120.00
_space_group_name_H-M_alt 'P 1'
_space_group_IT_number 1
loop_
_space_group_symop_operation_xyz
'x,y,z'
loop_
_atom_site_label
_atom_site_type_symbol
_atom_site_fract_x
_atom_site_fract_y
_atom_site_fract_z
Cu1 Cu 0.3333 0.6667 0.7391
Sm1 Sm 0.0000 0.0000 0.5000
Cu2 Cu 0.6667 0.3333 0.2609
Ca1 Ca 0.0000 0.0000 0.0000
Sn1 Sn 0.6667 0.3333 0.7400
Sn2 Sn 0.3333 0.6667 0.2600
# - DFT formation energy: -0.509 eV per atom